A relaxed structure of La15Pm4Tl. Source: Alexandria via LeMat-Bulk, functional GGA-PBE.

The space group is P4/mmm (No. 123) and the conventional cell measures 6.0846, 6.0846 and 19.1368 Å, with angles of 90.00, 90.00 and 90.00 degrees. The inequivalent atoms are La at (0.0000, 0.0000, 0.0000), La at (0.0000, 0.0000, 0.1973), La at (0.0000, 0.0000, 0.4134), La at (0.0000, 0.5000, 0.0892), La at (0.0000, 0.5000, 0.3046), La at (0.0000, 0.5000, 0.5000), Pm at (0.5000, 0.5000, 0.1951), Pm at (0.5000, 0.5000, 0.3908) and Tl at (0.5000, 0.5000, 0.0000).

The calculation puts the total energy at -94.349 eV per formula unit. The energy of formation comes out at 0.05 eV per atom.